PBE-GGA ThH8PtRh2, optimized geometry; total magnetization = 0.000 μB/cell; density of states at the Fermi level = 0.312 states/eV per atom; space group = R-3 (148); DFT total energy = -0.1758 hartree per atom
1.0
-4.1505 2.2306 -0.1066
-3.6572 -1.7096 2.4321
-1.0593 3.2599 5.2653
Th H Pt Rh
1 8 1 2
Cartesian
-4.4335 1.8905 3.7954
-1.8688 1.6411 2.9101
-3.8840 1.4678 1.4785
-6.9982 2.1398 4.6807
-6.2955 1.4582 2.3139
-2.5715 2.3227 5.2768
-4.6888 -0.3901 3.0321
-4.1782 4.1710 4.5586
-4.9830 2.3131 6.1122
0.0000 0.0000 0.0000
-2.3142 0.7503 1.6141
-6.5528 3.0306 5.9766

=====

PBE-GGA PaNiSn2N, optimized geometry; total magnetization = 0.000 μB/cell; density of states at the Fermi level = 0.864 states/eV per atom; space group = P4/nmm (129); DFT total energy = -0.2542 hartree per atom
1.0
-3.7128 0.0452 -0.6718
-0.4202 -3.0972 2.1140
-2.0425 8.3654 11.8500
Pa Ni Sn N
2 2 4 2
Cartesian
-3.0489 4.9067 6.5827
-1.0601 1.9327 5.9884
-2.0599 0.8560 0.8446
-2.0491 5.9834 11.7265
-1.6958 4.5364 9.6767
-0.3824 -0.8430 2.0566
-3.7266 7.6823 10.5145
-2.4132 2.3030 2.8944
-1.0212 4.1827 5.9250
-3.0877 2.6567 6.6461

=====

PBE-GGA LaGd2Pa, optimized geometry; total magnetization = 13.310 μB/cell; calculated formation energy = 0.25 eV/atom; density of states at the Fermi level = 1.830 states/eV per atom; space group = P4/mmm (123); DFT total energy = -0.3819 hartree per atom; energy relative to the lowest polymorph listed for this composition = 0.52 eV/f.u.
1.0
-4.2449 -0.4957 -2.5696
2.3174 -2.9393 -3.2612
-1.1904 -3.9701 2.7324
Gd Pa La
2 1 1
Cartesian
-0.5952 -1.9851 1.3662
1.1587 -1.4697 -1.6306
-1.5590 -3.7026 -1.5491
-2.1224 -0.2479 -1.2848

=====

PBE-GGA TbThAl, optimized geometry; total magnetization = 0.000 μB/cell; calculated formation energy = -0.16 eV/atom; density of states at the Fermi level = 1.120 states/eV per atom; space group = I4mm (107); DFT total energy = -0.1993 hartree per atom; energy relative to the lowest polymorph listed for this composition = 0.00 eV/f.u.
1.0
-1.3764 2.9461 -1.1774
-2.5662 -1.7885 -1.4753
-1.7544 -0.0067 7.1132
Tb Al Th
1 1 1
Cartesian
-2.3335 0.3583 3.6245
-3.2348 0.7729 0.6361
-0.1287 0.0198 0.1999

=====

PBE-GGA Ce3Pu2UAs6, optimized geometry; total magnetization = 9.120 μB/cell; calculated formation energy = -1.16 eV/atom; density of states at the Fermi level = 3.404 states/eV per atom; space group = C2/m (12); DFT total energy = -0.3051 hartree per atom
1.0
-3.0548 -2.6437 1.0006
5.0258 -3.7174 5.5219
-2.4696 7.8043 4.4249
Ce Pu U As
3 2 1 6
Cartesian
0.9855 -3.1806 3.2612
-3.3467 2.3726 4.7075
2.8481 -0.9294 6.2399
-0.8402 0.5163 7.4550
0.3417 0.9269 3.4923
-1.5274 -1.3219 0.5003
1.9154 0.9547 8.3703
0.0491 -1.3075 5.3511
-2.4139 0.4885 2.5771
1.2207 -0.8992 1.3511
-1.7192 2.3424 9.5963
-0.5476 2.7507 5.5962

=====

PBE-GGA Rb2Ga2Au3, optimized geometry; total magnetization = 0.000 μB/cell; calculated formation energy = -0.27 eV/atom; density of states at the Fermi level = 0.296 states/eV per atom; space group = C2/m (12); DFT total energy = -0.1033 hartree per atom; energy relative to the lowest polymorph listed for this composition = 0.29 eV/f.u.
1.0
4.3768 0.0000 0.0000
-2.1884 6.5637 -0.7098
0.0000 -3.8914 7.2860
Rb Ga Au
2 2 3
Cartesian
2.1884 3.8537 1.2702
0.0000 -1.1814 5.3060
2.1884 1.8559 5.1946
0.0000 0.8164 1.3816
2.1884 0.0000 0.0000
2.1884 0.4874 2.8313
0.0000 2.1849 3.7449